Mo2PSeO after structural relaxation, computed with PBE with a Hubbard U.

abc: 4.998 4.998 4.727
angles: 90.00 90.00 90.00
Fractional coordinates of all 5 atoms:
Mo1 0.000 0.500 0.000
Mo2 0.500 0.000 0.000
P1 0.000 0.000 0.000
Se1 0.000 0.000 0.500
O1 0.500 0.500 0.500

Results
- DOS at the Fermi energy: 0.8318 states/eV per atom
- Total DFT energy (no corrections): -4.4886 eV per atom